Run A
A relaxed NaZnPt crystal, computed with PBE-GGA.

Cell: 4.702 5.211 5.098 Å, 90.00 93.42 90.00°
Space group P2/m (No. 10)
One atom of each set of equivalent atoms:
Na1 0.000 0.000 0.000
Na2 0.500 0.000 0.500
Zn1 0.226 0.500 0.653
Pt1 0.266 0.500 0.157

Output
Its size of the total moment is 0.000 μB/atom. As for the volume: 124.7 Å³/cell. For the calculated density, the calculation gives 7.55 Mg/m³.

***

Run B
A relaxed NaZnPt crystal, computed with PBE-GGA.

Cell: 2.894 4.195 5.199 Å, 90.00 90.00 90.00°
Space group Pmmm (No. 47)
One atom of each set of equivalent atoms:
Na1 0.000 0.000 0.000
Zn1 0.000 0.500 0.500
Pt1 0.500 0.000 0.500

Output
Its size of the total moment is 0.000 μB/atom. As for the volume: 63.1 Å³/cell. For the calculated density, the calculation gives 7.46 Mg/m³.

***

Run C
A relaxed NaZnPt crystal, computed with PBE-GGA.

Cell: 4.5484 4.5484 2.8886 Å, 90.00 90.00 120.00°
Space group P3m1 (No. 156)
One atom of each set of equivalent atoms:
Na1 0.0000 0.0000 0.0000
Zn1 0.6667 0.3333 0.5024
Pt1 0.3333 0.6667 0.4986

Output
Its size of the total moment is 0.000 μB/atom. As for the volume: 51.8 Å³/cell. For the calculated density, the calculation gives 9.10 Mg/m³.

***

Run D
A relaxed NaZnPt crystal, computed with PBE-GGA.

Cell: 5.139 4.526 5.753 Å, 90.00 111.17 90.00°
Space group P2_1/m (No. 11)
One atom of each set of equivalent atoms:
Na1 0.225 0.250 0.468
Zn1 0.357 0.750 0.972
Pt1 0.117 0.250 0.943

Output
Its size of the total moment is 0.000 μB/atom. As for the volume: 124.8 Å³/cell. For the calculated density, the calculation gives 7.54 Mg/m³.

***

Which one is most stable, and which one is least stable? run B is the most stable of them, while run C is the least stable.

***

Run A
A relaxed NaZn4Pt crystal, computed with PBE-GGA.

Cell: 7.193 7.193 7.193 Å, 90.00 90.00 90.00°
Space group F-43m (No. 216)
One atom of each set of equivalent atoms:
Na1 0.000 0.000 0.000
Zn1 0.124 0.124 0.376
Pt1 0.250 0.250 0.750

Output
Its size of the total moment is 0.000 μB/atom. As for the volume: 372.1 Å³/cell. For the calculated density, the calculation gives 8.56 Mg/m³.

***

Run B
A relaxed NaZn4Pt crystal, computed with PBE-GGA.

Cell: 4.243 19.946 5.593 Å, 90.00 90.00 90.00°
Space group Cmcm (No. 63)
One atom of each set of equivalent atoms:
Na1 0.000 0.099 0.250
Zn1 0.000 0.173 0.750
Zn2 0.000 0.292 0.518
Zn3 0.000 0.500 0.000
Pt1 0.000 0.397 0.250

Output
Its size of the total moment is 0.000 μB/atom. As for the volume: 473.3 Å³/cell. For the calculated density, the calculation gives 6.73 Mg/m³.

***

Which one is most stable, and which one is least stable? run A is the most stable of them, while run B is the least stable.

***

Run A
A relaxed NaZn3Pt crystal, computed with PBE-GGA.

Cell: 4.880 4.880 4.880 Å, 90.00 90.00 90.00°
Space group Pm-3m (No. 221)
One atom of each set of equivalent atoms:
Na1 0.000 0.000 0.000
Zn1 0.000 0.500 0.500
Pt1 0.500 0.500 0.500

Output
Its size of the total moment is 0.000 μB/atom. As for the volume: 116.2 Å³/cell. For the calculated density, the calculation gives 5.92 Mg/m³.

***

Run B
A relaxed NaZn3Pt crystal, computed with PBE-GGA.

Cell: 6.001 9.621 7.631 Å, 90.00 90.00 90.00°
Space group Imma (No. 74)
One atom of each set of equivalent atoms:
Na1 0.000 0.250 0.112
Zn1 0.000 0.250 0.567
Zn2 0.250 0.046 0.750
Pt1 0.000 0.000 0.500

Output
Its size of the total moment is 0.000 μB/atom. As for the volume: 440.6 Å³/cell. For the calculated density, the calculation gives 6.25 Mg/m³.

***

Run C
A relaxed NaZn3Pt crystal, computed with PBE-GGA.

Cell: 8.897 4.240 10.428 Å, 90.00 90.00 90.00°
Space group Pnma (No. 62)
One atom of each set of equivalent atoms:
Na1 0.183 0.250 0.020
Zn1 0.029 0.250 0.585
Zn2 0.095 0.750 0.765
Zn3 0.217 0.750 0.238
Pt1 0.144 0.250 0.357

Output
Its size of the total moment is 0.000 μB/atom. As for the volume: 393.4 Å³/cell. For the calculated density, the calculation gives 7.00 Mg/m³.

***

Which one is most stable, and which one is least stable? run C is the most stable of them, while run A is the least stable.

***

Run A
A relaxed NaZn2Pt2 crystal, computed with PBE-GGA.

Cell: 4.103 4.103 11.201 Å, 90.00 90.00 90.00°
Space group I4/mmm (No. 139)
One atom of each set of equivalent atoms:
Na1 0.000 0.000 0.000
Zn1 0.000 0.500 0.250
Pt1 0.000 0.000 0.385

Output
Its size of the total moment is 0.000 μB/atom. As for the volume: 188.5 Å³/cell. For the calculated density, the calculation gives 9.58 Mg/m³.

***

Run B
A relaxed NaZn2Pt2 crystal, computed with PBE-GGA.

Cell: 7.623 7.623 2.826 Å, 90.00 90.00 90.00°
Space group P4/mbm (No. 127)
One atom of each set of equivalent atoms:
Na1 0.000 0.000 0.000
Zn1 0.135 0.365 0.000
Pt1 0.161 0.661 0.500

Output
Its size of the total moment is 0.000 μB/atom. As for the volume: 164.2 Å³/cell. For the calculated density, the calculation gives 11.00 Mg/m³.

***

Which one is most stable, and which one is least stable? run B is the most stable of them, while run A is the least stable.

***

Run A
A relaxed NaZnPt3 crystal, computed with PBE-GGA.

Cell: 4.607 4.607 4.607 Å, 90.00 90.00 90.00°
Space group Pm-3m (No. 221)
One atom of each set of equivalent atoms:
Na1 0.000 0.000 0.000
Zn1 0.500 0.500 0.500
Pt1 0.000 0.000 0.500

Output
Its size of the total moment is 0.000 μB/atom. As for the volume: 97.8 Å³/cell. For the calculated density, the calculation gives 11.44 Mg/m³.

***

Run B
A relaxed NaZnPt3 crystal, computed with PBE-GGA.

Cell: 4.704 4.704 4.704 Å, 90.00 90.00 90.00°
Space group Pm-3m (No. 221)
One atom of each set of equivalent atoms:
Na1 0.000 0.000 0.000
Zn1 0.500 0.500 0.500
Pt1 0.000 0.500 0.500

Output
Its size of the total moment is 0.000 μB/atom. As for the volume: 104.1 Å³/cell. For the calculated density, the calculation gives 10.74 Mg/m³.

***

Which one is most stable, and which one is least stable? run B is the most stable of them, while run A is the least stable.

***

Run A
A relaxed Na3ZrPt crystal, computed with PBE-GGA.

Cell: 5.338 5.338 5.338 Å, 90.00 90.00 90.00°
Space group Pm-3m (No. 221)
One atom of each set of equivalent atoms:
Na1 0.000 0.000 0.500
Zr1 0.500 0.500 0.500
Pt1 0.000 0.000 0.000

Output
Its size of the total moment is 0.593 μB/atom. As for the volume: 152.1 Å³/cell. For the calculated density, the calculation gives 3.88 Mg/m³.

***

Run B
A relaxed Na3ZrPt crystal, computed with PBE-GGA.

Cell: 5.828 5.828 5.828 Å, 90.00 90.00 90.00°
Space group Pm-3m (No. 221)
One atom of each set of equivalent atoms:
Na1 0.000 0.000 0.500
Zr1 0.000 0.000 0.000
Pt1 0.500 0.500 0.500

Output
Its size of the total moment is 0.617 μB/atom. As for the volume: 197.9 Å³/cell. For the calculated density, the calculation gives 2.98 Mg/m³.

***

Which one is most stable, and which one is least stable? run A is the most stable of them, while run B is the least stable.

***

Run A
A relaxed Na3Pu crystal, computed with PBE-GGA.

Cell: 8.443 8.443 8.443 Å, 90.00 90.00 90.00°
Space group Fm-3m (No. 225)
One atom of each set of equivalent atoms:
Na1 0.000 0.000 0.000
Na2 0.250 0.250 0.250
Pu1 0.000 0.000 0.500

Output
Its size of the total moment is 1.648 μB/atom. As for the volume: 601.9 Å³/cell. For the calculated density, the calculation gives 3.45 Mg/m³.

***

Run B
A relaxed Na3Pu crystal, computed with PBE-GGA.

Cell: 7.4937 7.4937 6.0442 Å, 90.00 90.00 120.00°
Space group P6_3/mmc (No. 194)
One atom of each set of equivalent atoms:
Na1 0.1622 0.3244 0.2500
Pu1 0.3333 0.6667 0.7500

Output
Its size of the total moment is 1.732 μB/atom. As for the volume: 293.9 Å³/cell. For the calculated density, the calculation gives 3.54 Mg/m³.

***

Which one is most stable, and which one is least stable? run B is the most stable of them, while run A is the least stable.

***

Run A
A relaxed NaPu2Rh crystal, computed with PBE-GGA.

Cell: 3.6974 3.6974 31.7163 Å, 90.00 90.00 120.00°
Space group R-3m (No. 166, hexagonal axes)
One atom of each set of equivalent atoms:
Na1 0.0000 0.0000 0.0000
Pu1 0.0000 0.0000 0.1115
Rh1 0.0000 0.0000 0.5000

Output
Its size of the total moment is 2.874 μB/atom. As for the volume: 375.5 Å³/cell. For the calculated density, the calculation gives 8.14 Mg/m³.

***

Run B
A relaxed NaPu2Rh crystal, computed with PBE-GGA.

Cell: 3.326 3.326 9.552 Å, 90.00 90.00 90.00°
Space group P4/mmm (No. 123)
One atom of each set of equivalent atoms:
Na1 0.000 0.000 0.000
Pu1 0.500 0.500 0.317
Rh1 0.000 0.000 0.500

Output
Its size of the total moment is 2.911 μB/atom. As for the volume: 105.7 Å³/cell. For the calculated density, the calculation gives 9.65 Mg/m³.

***

Which one is most stable, and which one is least stable? run B is the most stable of them, while run A is the least stable.

***

Run A
A relaxed NaPu2Ru crystal, computed with PBE-GGA.

Cell: 3.273 3.273 9.564 Å, 90.00 90.00 90.00°
Space group P4/mmm (No. 123)
One atom of each set of equivalent atoms:
Na1 0.000 0.000 0.000
Pu1 0.500 0.500 0.318
Ru1 0.000 0.000 0.500

Output
Its size of the total moment is 2.740 μB/atom. As for the volume: 102.5 Å³/cell. For the calculated density, the calculation gives 9.92 Mg/m³.

***

Run B
A relaxed NaPu2Ru crystal, computed with PBE-GGA.

Cell: 3.3336 3.3336 33.3067 Å, 90.00 90.00 120.00°
Space group R-3m (No. 166, hexagonal axes)
One atom of each set of equivalent atoms:
Na1 0.0000 0.0000 0.0000
Pu1 0.0000 0.0000 0.1052
Ru1 0.0000 0.0000 0.5000

Output
Its size of the total moment is 2.866 μB/atom. As for the volume: 320.5 Å³/cell. For the calculated density, the calculation gives 9.51 Mg/m³.

***

Which one is most stable, and which one is least stable? run A is the most stable of them, while run B is the least stable.

***

Run A
A relaxed NaPu2S3 crystal, computed with PBE-GGA.

Cell: 4.018 5.591 12.152 Å, 90.00 90.00 90.00°
Space group Immm (No. 71)
One atom of each set of equivalent atoms:
Na1 0.000 0.000 0.000
Pu1 0.000 0.000 0.337
S1 0.000 0.500 0.000
S2 0.000 0.500 0.320

Output
Its size of the total moment is 1.833 μB/atom. As for the volume: 273.0 Å³/cell. For the calculated density, the calculation gives 7.39 Mg/m³.

***

Run B
A relaxed NaPu2S3 crystal, computed with PBE-GGA.

Cell: 12.203 7.039 7.126 Å, 90.00 90.00 90.00°
Space group Cmcm (No. 63)
One atom of each set of equivalent atoms:
Na1 0.000 0.001 0.250
Pu1 0.167 0.500 0.000
S1 0.000 0.390 0.750
S2 0.195 0.195 0.250

Output
Its size of the total moment is 1.834 μB/atom. As for the volume: 612.1 Å³/cell. For the calculated density, the calculation gives 6.59 Mg/m³.

***

Which one is most stable, and which one is least stable? run A is the most stable of them, while run B is the least stable.

***

Run A
A relaxed Na3PuS4 crystal, computed with PBE-GGA.

Cell: 7.023 8.083 6.898 Å, 90.00 110.08 90.00°
Space group P2/c (No. 13)
One atom of each set of equivalent atoms:
Na1 0.000 0.113 0.250
Na2 0.000 0.372 0.750
Na3 0.500 0.119 0.750
Pu1 0.500 0.371 0.250
S1 0.263 0.149 0.027
S2 0.284 0.394 0.499

Output
Its size of the total moment is 0.375 μB/atom. As for the volume: 367.8 Å³/cell. For the calculated density, the calculation gives 3.98 Mg/m³.

***

Run B
A relaxed Na3PuS4 crystal, computed with PBE-GGA.

Cell: 8.072 11.302 4.007 Å, 90.00 90.00 90.00°
Space group Cmmm (No. 65)
One atom of each set of equivalent atoms:
Na1 0.000 0.000 0.000
Na2 0.250 0.250 0.500
Pu1 0.000 0.500 0.000
S1 0.000 0.276 0.000
S2 0.224 0.500 0.500

Output
Its size of the total moment is 0.375 μB/atom. As for the volume: 365.6 Å³/cell. For the calculated density, the calculation gives 4.01 Mg/m³.

***

Which one is most stable, and which one is least stable? run A is the most stable of them, while run B is the least stable.